VASP calculation (PBE) on a relaxed structure of Zr2Cr3Re.

raw total energy: -118.97 eV per cell
volume: 15.809 Å³ per atom

Cell lengths 8.842, 5.108, 5.134 Å; angles 90.00, 125.10, 90.00 degrees
Sites, in units of the cell vectors:
Zr1 0.125 0.000 0.373
Zr2 0.375 0.500 0.627
Zr3 0.625 0.500 0.373
Zr4 0.875 0.000 0.627
Cr1 0.000 0.500 0.000
Cr2 0.250 0.250 0.000
Cr3 0.250 0.750 0.000
Cr4 0.500 0.000 0.000
Cr5 0.750 0.250 0.000
Cr6 0.750 0.750 0.000
Re1 0.000 0.500 0.500
Re2 0.500 0.000 0.500

VASP calculation (PBE) on a relaxed structure of KAs2SeO8.

raw total energy: -64.43 eV per cell
volume: 16.479 Å³ per atom

Cell lengths 9.601, 9.601, 9.601 Å; angles 30.15, 30.15, 30.15 degrees
Sites, in units of the cell vectors:
K1 0.000 0.000 0.000
As1 0.235 0.235 0.235
As2 0.765 0.765 0.765
Se1 0.500 0.500 0.500
O1 0.137 0.482 0.739
O2 0.261 0.518 0.863
O3 0.296 0.296 0.296
O4 0.482 0.739 0.137
O5 0.518 0.863 0.261
O6 0.704 0.704 0.704
O7 0.739 0.137 0.482
O8 0.863 0.261 0.518

VASP calculation (PBE) on a relaxed structure of KPmPb2.

raw total energy: -14.17 eV per cell
volume: 32.374 Å³ per atom

Cell lengths 5.879, 5.879, 3.747 Å; angles 90.00, 90.00, 90.00 degrees
Sites, in units of the cell vectors:
K1 0.000 0.000 0.000
Pm1 0.500 0.500 0.000
Pb1 0.000 0.500 0.500
Pb2 0.500 0.000 0.500

Repeat the third record exactly.
VASP calculation (PBE) on a relaxed structure of KPmPb2.

raw total energy: -14.17 eV per cell
volume: 32.374 Å³ per atom

Cell lengths 5.879, 5.879, 3.747 Å; angles 90.00, 90.00, 90.00 degrees
Sites, in units of the cell vectors:
K1 0.000 0.000 0.000
Pm1 0.500 0.500 0.000
Pb1 0.000 0.500 0.500
Pb2 0.500 0.000 0.500

Which formula does entry 2 have?
KAs2SeO8

The lowest volume belongs to which entry?
Zr2Cr3Re

Copy entry 3 word for word.
VASP calculation (PBE) on a relaxed structure of KPmPb2.

raw total energy: -14.17 eV per cell
volume: 32.374 Å³ per atom

Cell lengths 5.879, 5.879, 3.747 Å; angles 90.00, 90.00, 90.00 degrees
Sites, in units of the cell vectors:
K1 0.000 0.000 0.000
Pm1 0.500 0.500 0.000
Pb1 0.000 0.500 0.500
Pb2 0.500 0.000 0.500